[1]
The following is a PBE calculation of crystalline SmSbNO at its relaxed geometry, from OQMD.

Cell lengths 6.8802, 6.9834, 5.6828 Å; angles 90.00, 90.00, 90.00 degrees
Atoms (fractional coordinates):
Sm1 0.0817 0.1718 0.0000
Sm2 0.4183 0.1718 0.5000
Sm3 0.5817 0.8282 0.0000
Sm4 0.9183 0.8282 0.5000
Sb1 0.1297 0.6843 0.0005
Sb2 0.3703 0.6843 0.5005
Sb3 0.6297 0.3157 0.0005
Sb4 0.8703 0.3157 0.5005
N1 0.0883 0.1208 0.5795
N2 0.4117 0.1208 0.0795
N3 0.5883 0.8792 0.5795
N4 0.9117 0.8792 0.0795
O1 0.0526 0.4549 0.2430
O2 0.4474 0.4549 0.7430
O3 0.5526 0.5451 0.2430
O4 0.9474 0.5451 0.7430

***

[2]
The following is a PBE calculation of crystalline SmSbN2O at its relaxed geometry, from OQMD.

Cell lengths 6.5695, 6.5695, 12.1229 Å; angles 90.00, 90.00, 120.00 degrees
Atoms (fractional coordinates):
Sm1 0.0000 0.0000 0.0000
Sm2 0.0000 0.0000 0.5000
Sm3 0.3333 0.6667 0.4702
Sm4 0.3333 0.6667 0.9702
Sm5 0.6667 0.3333 0.4702
Sm6 0.6667 0.3333 0.9702
Sb1 0.0000 0.3337 0.2329
Sb2 0.0000 0.6663 0.7329
Sb3 0.3337 0.0000 0.2329
Sb4 0.3337 0.3337 0.7329
Sb5 0.6663 0.0000 0.7329
Sb6 0.6663 0.6663 0.2329
N1 0.0000 0.3129 0.3922
N2 0.0000 0.3538 0.0740
N3 0.0000 0.6462 0.5740
N4 0.0000 0.6871 0.8922
N5 0.3129 0.0000 0.3922
N6 0.3129 0.3129 0.8922
N7 0.3538 0.0000 0.0740
N8 0.3538 0.3538 0.5740
N9 0.6462 0.0000 0.5740
N10 0.6462 0.6462 0.0740
N11 0.6871 0.0000 0.8922
N12 0.6871 0.6871 0.3922
O1 0.0000 0.0000 0.2108
O2 0.0000 0.0000 0.7108
O3 0.3333 0.6667 0.2511
O4 0.3333 0.6667 0.7511
O5 0.6667 0.3333 0.2511
O6 0.6667 0.3333 0.7511

***

[3]
The following is a PBE calculation of crystalline SmSbN2O at its relaxed geometry, from OQMD.

Cell lengths 7.9226, 8.1096, 8.1201 Å; angles 90.07, 90.01, 91.36 degrees
Atoms (fractional coordinates):
Sm1 0.0167 0.4566 0.2523
Sm2 0.0384 0.9837 0.2480
Sm3 0.4725 0.5180 0.7473
Sm4 0.4798 0.0289 0.7535
Sm5 0.5202 0.9711 0.2465
Sm6 0.5275 0.4820 0.2527
Sm7 0.9616 0.0163 0.7520
Sm8 0.9833 0.5434 0.7477
Sb1 0.2429 0.2551 0.9864
Sb2 0.2474 0.7378 0.0094
Sb3 0.2482 0.2389 0.5080
Sb4 0.2516 0.7558 0.4919
Sb5 0.7484 0.2442 0.5081
Sb6 0.7518 0.7611 0.4920
Sb7 0.7526 0.2622 0.9906
Sb8 0.7571 0.7449 0.0136
N1 0.0020 0.7900 0.5613
N2 0.0031 0.8006 0.9434
N3 0.1833 0.7047 0.2524
N4 0.2059 0.4985 0.9361
N5 0.2148 0.1724 0.7493
N6 0.3009 0.0006 0.4424
N7 0.4990 0.2861 0.9452
N8 0.4990 0.3067 0.5436
N9 0.5010 0.6933 0.4564
N10 0.5010 0.7139 0.0548
N11 0.6991 0.9994 0.5576
N12 0.7852 0.8276 0.2507
N13 0.7941 0.5015 0.0639
N14 0.8167 0.2953 0.7476
N15 0.9969 0.1994 0.0566
N16 0.9980 0.2100 0.4387
O1 0.2053 0.4986 0.5537
O2 0.2838 0.3087 0.2477
O3 0.2950 0.0005 0.0511
O4 0.3160 0.7796 0.7515
O5 0.6840 0.2204 0.2485
O6 0.7050 0.9995 0.9489
O7 0.7162 0.6913 0.7523
O8 0.7947 0.5014 0.4463

***

[4]
The following is a PBE calculation of crystalline SmSbN2O at its relaxed geometry, from OQMD.

Cell lengths 5.7355, 8.1494, 5.5830 Å; angles 90.00, 90.00, 90.00 degrees
Atoms (fractional coordinates):
Sm1 0.0558 0.2500 0.0216
Sm2 0.4442 0.7500 0.5216
Sm3 0.5558 0.2500 0.4784
Sm4 0.9442 0.7500 0.9784
Sb1 0.0000 0.0000 0.5000
Sb2 0.0000 0.5000 0.5000
Sb3 0.5000 0.0000 0.0000
Sb4 0.5000 0.5000 0.0000
N1 0.2033 0.5552 0.7982
N2 0.2033 0.9448 0.7982
N3 0.2967 0.0552 0.2982
N4 0.2967 0.4448 0.2982
N5 0.7033 0.5552 0.7018
N6 0.7033 0.9448 0.7018
N7 0.7967 0.0552 0.2018
N8 0.7967 0.4448 0.2018
O1 0.0296 0.7500 0.3937
O2 0.4704 0.2500 0.8937
O3 0.5296 0.7500 0.1063
O4 0.9704 0.2500 0.6063

***

[5]
The following is a PBE calculation of crystalline SmSbN2O at its relaxed geometry, from OQMD.

Cell lengths 5.5198, 5.6497, 6.0153 Å; angles 62.92, 64.34, 60.76 degrees
Atoms (fractional coordinates):
Sm1 0.0000 0.0000 0.0000
Sm2 0.2688 0.2639 0.2158
Sb1 0.4896 0.4511 0.5711
Sb2 0.7816 0.7861 0.6481
N1 0.1740 0.6057 0.3930
N2 0.4299 0.0693 0.8413
N3 0.6484 0.4411 0.8350
N4 0.8359 0.1800 0.3723
O1 0.0579 0.6517 0.8650
O2 0.5945 0.8297 0.3728

***

[6]
The following is a PBE calculation of crystalline SmSbN2O at its relaxed geometry, from OQMD.

Cell lengths 5.7093, 5.7093, 5.7093 Å; angles 89.09, 120.52, 120.53 degrees
Atoms (fractional coordinates):
Sm1 0.0244 0.2500 0.2744
Sm2 0.9756 0.7500 0.7256
Sb1 0.5029 0.0029 0.5000
Sb2 0.5029 0.5029 0.0000
N1 0.0034 0.1899 0.6884
N2 0.0034 0.8150 0.3136
N3 0.5014 0.3150 0.3116
N4 0.5014 0.6899 0.6864
O1 0.4064 0.7611 0.1454
O2 0.6157 0.2611 0.8546

***

[7]
The following is a PBE calculation of crystalline SmSbN2O at its relaxed geometry, from OQMD.

Cell lengths 3.6826, 6.3985, 5.9225 Å; angles 90.00, 90.00, 90.00 degrees
Atoms (fractional coordinates):
Sm1 0.0000 0.1557 0.0000
Sm2 0.0000 0.8443 0.5000
Sb1 0.5000 0.3255 0.5347
Sb2 0.5000 0.6745 0.0347
N1 0.0000 0.2047 0.5936
N2 0.0000 0.7953 0.0936
N3 0.5000 0.3963 0.8862
N4 0.5000 0.6037 0.3862
O1 0.5000 0.1002 0.2758
O2 0.5000 0.8998 0.7758

***

[8]
The following is a PBE calculation of crystalline SmSbN2O at its relaxed geometry, from OQMD.

Cell lengths 8.0851, 7.9393, 11.3547 Å; angles 90.00, 134.24, 90.00 degrees
Atoms (fractional coordinates):
Sm1 0.1809 0.0119 0.2320
Sm2 0.1809 0.4881 0.7320
Sm3 0.2402 0.5093 0.2433
Sm4 0.2402 0.9907 0.7433
Sm5 0.7598 0.0093 0.2567
Sm6 0.7598 0.4907 0.7567
Sm7 0.8191 0.5119 0.2680
Sm8 0.8191 0.9881 0.7680
Sb1 0.2747 0.2494 0.0180
Sb2 0.2747 0.2506 0.5180
Sb3 0.2805 0.7422 0.0114
Sb4 0.2805 0.7578 0.5114
Sb5 0.7195 0.2422 0.4886
Sb6 0.7195 0.2578 0.9886
Sb7 0.7253 0.7494 0.4820
Sb8 0.7253 0.7506 0.9820
N1 0.1698 0.0038 0.4720
N2 0.1698 0.4962 0.9720
N3 0.2566 0.5046 0.4694
N4 0.2566 0.9954 0.9694
N5 0.4115 0.2330 0.2511
N6 0.4115 0.2670 0.7511
N7 0.4207 0.7147 0.9158
N8 0.4207 0.7853 0.4158
N9 0.5793 0.2147 0.5842
N10 0.5793 0.2853 0.0842
N11 0.5885 0.7330 0.2489
N12 0.5885 0.7670 0.7489
N13 0.7434 0.0046 0.0306
N14 0.7434 0.4954 0.5306
N15 0.8302 0.5038 0.0280
N16 0.8302 0.9962 0.5280
O1 0.0497 0.2371 0.7555
O2 0.0497 0.2629 0.2555
O3 0.0520 0.7099 0.5446
O4 0.0520 0.7901 0.0446
O5 0.9480 0.2099 0.9554
O6 0.9480 0.2901 0.4554
O7 0.9503 0.7371 0.7445
O8 0.9503 0.7629 0.2445

***

We obtain raw total energy values of -26.63 -34.33 -35.14 -35.14 -34.98 -34.92 -35.17 -35.00 eV per formula unit for the records listed above, in that order.